1.
28
Lattice="0.000 5.440 5.440 5.440 0.000 5.440 5.440 5.440 0.000" Properties=species:S:1:pos:R:3 comment="Ni3Mo3N, optimized geometry, DFT GGA-PBEsol" e_form_raw_mev_per_atom=-287 magmom_total_mub_per_atom=0.0002 pbc="T T T"
Ni 0.000 0.000 0.000
Ni 2.720 2.720 0.000
Ni 2.720 0.000 2.720
Ni 8.598 5.003 5.003
Ni 2.283 2.283 2.283
Ni 5.878 5.878 2.283
Ni 5.878 2.283 5.878
Ni 0.000 2.720 2.720
Ni 5.003 8.598 5.003
Ni 5.003 5.003 8.598
Ni 8.598 8.598 8.598
Ni 2.283 5.878 5.878
Mo 4.080 4.080 1.858
Mo 4.080 1.858 4.080
Mo 6.302 4.080 4.080
Mo 6.800 6.800 4.578
Mo 6.800 4.578 6.800
Mo 9.023 6.800 6.800
Mo 1.858 4.080 4.080
Mo 4.080 6.302 4.080
Mo 4.080 4.080 6.302
Mo 4.578 6.800 6.800
Mo 6.800 9.023 6.800
Mo 6.800 6.800 9.023
N 5.440 2.720 2.720
N 2.720 5.440 2.720
N 2.720 2.720 5.440
N 5.440 5.440 5.440

2.
10
Lattice="7.825 0.000 0.000 0.000 7.825 0.000 0.000 0.000 3.775" Properties=species:S:1:pos:R:3 comment="Gd2SnAu2, optimized geometry, DFT GGA-PBEsol" magmom_total_mub_per_atom=2.8373 energy_ev_per_cell=-90.66 pbc="T T T"
Gd 1.347 2.566 0.000
Gd 2.566 6.478 0.000
Gd 5.259 1.347 0.000
Gd 6.478 5.259 0.000
Sn 0.000 0.000 1.888
Sn 3.912 3.912 1.888
Au 0.991 4.903 1.888
Au 2.921 0.991 1.888
Au 4.903 6.834 1.888
Au 6.834 2.921 1.888

3.
8
Lattice="4.056 0.000 0.000 0.000 3.504 0.000 0.000 0.000 9.948" Properties=species:S:1:pos:R:3 comment="Sc2AsRu, optimized geometry, DFT GGA-PBEsol" magmom_total_mub_per_atom=0.0001 energy_ev_per_cell=-63.52 pbc="T T T"
Sc 0.000 0.000 0.000
Sc 0.000 1.752 4.974
Sc 2.028 0.000 2.850
Sc 2.028 1.752 7.824
As 2.028 0.000 5.629
As 2.028 1.752 0.655
Ru 0.000 0.000 7.243
Ru 0.000 1.752 2.269

4.
16
Lattice="6.136 0.000 0.000 0.000 6.136 0.000 0.000 0.000 6.136" Properties=species:S:1:pos:R:3 comment="Ti2MnAl, optimized geometry, DFT GGA-PBEsol" magmom_total_mub_per_atom=0.0002 energy_ev_per_cell=-125.25 pbc="T T T"
Ti 0.000 0.000 0.000
Ti 0.000 3.068 3.068
Ti 1.534 1.534 1.534
Ti 1.534 4.602 4.602
Ti 3.068 0.000 3.068
Ti 3.068 3.068 0.000
Ti 4.602 1.534 4.602
Ti 4.602 4.602 1.534
Mn 1.534 1.534 4.602
Mn 1.534 4.602 1.534
Mn 4.602 1.534 1.534
Mn 4.602 4.602 4.602
Al 0.000 0.000 3.068
Al 0.000 3.068 0.000
Al 3.068 0.000 0.000
Al 3.068 3.068 3.068

5.
9
Lattice="-3.738 3.738 1.763 3.738 -3.738 1.763 3.738 3.738 -1.763" Properties=species:S:1:pos:R:3 comment="Co8Pt, optimized geometry, DFT GGA-PBEsol" magmom_total_mub_per_atom=1.4951 energy_ev_per_cell=-68.88 pbc="T T T"
Co 2.538 0.000 0.000
Co 4.938 0.000 0.000
Co 2.441 2.441 0.000
Co 1.297 -1.297 1.763
Co 0.000 2.538 0.000
Co 0.000 4.938 0.000
Co -1.297 1.297 1.763
Co 1.297 1.297 1.763
Pt 0.000 0.000 0.000

6.
40
Lattice="5.688 0.000 0.000 0.000 10.879 0.000 -0.141 0.000 9.587" Properties=species:S:1:pos:R:3 comment="BaCaMoF7, optimized geometry, DFT GGA-PBEsol" e_form_raw_mev_per_atom=-3214 magmom_total_mub_per_atom=0.3000 pbc="T T T"
Ba 1.228 1.649 4.568
Ba 1.158 3.791 9.362
Ba 4.389 7.089 0.225
Ba 4.319 9.230 5.018
Ca 1.086 6.229 3.437
Ca 1.015 10.091 8.230
Ca 4.532 0.789 1.356
Ca 4.461 4.651 6.150
Mo 1.639 7.141 6.737
Mo 1.710 9.178 1.944
Mo 3.837 1.701 7.643
Mo 3.908 3.738 2.850
F -0.077 8.071 7.433
F -0.006 8.248 2.639
F 0.488 5.649 1.403
F 0.418 10.670 6.196
F 0.808 5.533 5.775
F 0.879 10.786 0.982
F 1.117 8.012 4.976
F 1.188 8.308 0.183
F 2.097 1.160 8.561
F 2.167 4.280 3.767
F 2.236 6.074 8.360
F 2.307 10.245 3.566
F 2.757 7.552 2.644
F 2.687 8.767 7.437
F 2.860 2.113 2.149
F 2.790 3.327 6.943
F 3.240 0.634 6.020
F 3.311 4.805 1.227
F 3.380 6.599 5.820
F 3.450 9.720 1.026
F 4.359 2.572 9.404
F 4.430 2.868 4.610
F 4.668 0.094 8.605
F 4.739 5.346 3.812
F 5.129 0.209 3.391
F 5.059 5.231 8.184
F 5.553 2.631 6.947
F 5.624 2.809 2.154

7.
4
Lattice="4.185 0.000 0.000 0.000 4.185 0.000 0.000 0.000 6.156" Properties=species:S:1:pos:R:3 comment="La2AuCl, optimized geometry, DFT GGA-PBEsol" e_form_raw_mev_per_atom=-1206 de_polymorph_mev_per_atom=0 magmom_total_mub_per_atom=0.0000 pbc="T T T"
La 0.000 0.000 0.000
La 2.093 2.093 3.078
Au 0.000 0.000 3.078
Cl 2.093 2.093 0.000

8.
4
Lattice="3.699 0.000 0.000 0.000 4.292 0.000 0.000 0.000 4.561" Properties=species:S:1:pos:R:3 comment="Mg2ZrBe, optimized geometry, DFT GGA-PBEsol" magmom_total_mub_per_atom=0.0000 energy_ev_per_cell=-15.89 pbc="T T T"
Mg 0.000 0.000 0.000
Mg 1.849 2.146 0.000
Zr 0.000 2.146 2.281
Be 1.849 0.000 2.281